Entry 1:
NdGdCuOs | PBE-GGA | optimized geometry

Cell: 4.9573 4.9573 4.9573 Å, 60.00 60.00 60.00°
Fractional coordinates of all 4 atoms:
Nd1 0.5000 0.5000 0.5000
Gd1 0.0000 0.0000 0.0000
Os1 0.2500 0.2500 0.2500
Cu1 0.7500 0.7500 0.7500

Values from the calculation:
The calculation puts the density of states at the Fermi level at 2.440 states/eV/cell. The total magnetic moment comes out at 7.11 μB per formula unit. The energy of formation is -126.5 meV per atom. As for the space group: F-43m (216).



Entry 2:
NdGdCuPb | PBE-GGA | optimized geometry

Cell: 5.3157 5.3157 5.3157 Å, 60.00 60.00 60.00°
Fractional coordinates of all 4 atoms:
Pb1 0.7500 0.7500 0.7500
Gd1 0.5000 0.5000 0.5000
Nd1 0.0000 0.0000 0.0000
Cu1 0.2500 0.2500 0.2500

Values from the calculation:
The calculation puts the density of states at the Fermi level at 3.649 states/eV/cell. The total magnetic moment comes out at 7.92 μB per formula unit. The energy of formation is -317.6 meV per atom. As for the space group: F-43m (216).



Entry 3:
NdGdCuPt | PBE-GGA | optimized geometry

Cell: 5.0399 5.0399 5.0399 Å, 60.00 60.00 60.00°
Fractional coordinates of all 4 atoms:
Gd1 0.5000 0.5000 0.5000
Nd1 0.0000 0.0000 0.0000
Cu1 0.2500 0.2500 0.2500
Pt1 0.7500 0.7500 0.7500

Values from the calculation:
The calculation puts the density of states at the Fermi level at 2.170 states/eV/cell. The total magnetic moment comes out at 7.11 μB per formula unit. The energy of formation is -666.4 meV per atom. As for the space group: F-43m (216).



Entry 4:
NdGdCuRu | PBE-GGA | optimized geometry

Cell: 4.9598 4.9598 4.9598 Å, 60.00 60.00 60.00°
Fractional coordinates of all 4 atoms:
Ru1 0.7500 0.7500 0.7500
Gd1 0.5000 0.5000 0.5000
Nd1 0.0000 0.0000 0.0000
Cu1 0.2500 0.2500 0.2500

Values from the calculation:
The calculation puts the density of states at the Fermi level at 2.794 states/eV/cell. The total magnetic moment comes out at 7.03 μB per formula unit. The energy of formation is -218.5 meV per atom. As for the space group: F-43m (216).



Entry 5:
NdGdCuSb | PBE-GGA | optimized geometry

Cell: 5.2477 5.2477 5.2477 Å, 60.00 60.00 60.00°
Fractional coordinates of all 4 atoms:
Sb1 0.7500 0.7500 0.7500
Gd1 0.0000 0.0000 0.0000
Nd1 0.5000 0.5000 0.5000
Cu1 0.2500 0.2500 0.2500

Values from the calculation:
For the raw formation energy, the calculation gives -0.509 eV per atom. The calculation puts the density of states at the Fermi level at 4.389 states/eV/cell. The total magnetic moment comes out at 7.69 μB per formula unit. As for the space group: F-43m (216).



Entry 6:
NdGdCuSi | PBE-GGA | optimized geometry

Cell: 5.0459 5.0459 5.0459 Å, 60.00 60.00 60.00°
Fractional coordinates of all 4 atoms:
Si1 0.7500 0.7500 0.7500
Gd1 0.5000 0.5000 0.5000
Nd1 0.0000 0.0000 0.0000
Cu1 0.2500 0.2500 0.2500

Values from the calculation:
For the raw formation energy, the calculation gives -0.396 eV per atom. The calculation puts the density of states at the Fermi level at 3.145 states/eV/cell. The total magnetic moment comes out at 7.70 μB per formula unit. As for the space group: F-43m (216).